VASP calculation (PBE-GGA) on an optimized crystal structure of Nd12YEr7.

Properties
Calculated total energy   -90.84 eV per cell
Total moment   0.00 μB/cell
ΔH_f (0 K)   0.239 eV per atom
Excess energy over the best structure of this formula in the dataset   0.009 eV per atom
SG   R-3m, No. 166

abc: 11.539 11.539 11.539
angles: 116.84 116.84 116.84
Fractional positions:
Nd 0.000 0.413 0.587
Nd 0.000 0.587 0.413
Nd 0.087 0.087 0.439
Nd 0.087 0.439 0.087
Nd 0.413 0.000 0.587
Nd 0.413 0.587 0.000
Nd 0.439 0.087 0.087
Nd 0.561 0.913 0.913
Nd 0.587 0.000 0.413
Nd 0.587 0.413 0.000
Nd 0.913 0.561 0.913
Nd 0.913 0.913 0.561
Y 0.500 0.500 0.500
Er 0.000 0.000 0.000
Er 0.129 0.373 0.373
Er 0.373 0.129 0.373
Er 0.373 0.373 0.129
Er 0.627 0.627 0.871
Er 0.627 0.871 0.627
Er 0.871 0.627 0.627

=====

VASP calculation (PBE-GGA) on an optimized crystal structure of NdYEr4.

Properties
Calculated total energy   -58.83 eV per cell
Total moment   0.00 μB/cell
ΔH_f (0 K)   0.012 eV per atom
Excess energy over the best structure of this formula in the dataset   0.000 eV per atom
SG   C2/c, No. 15

abc: 6.175 6.175 12.015
angles: 104.83 104.83 60.02
Fractional positions:
Nd 0.081 0.919 0.750
Nd 0.919 0.081 0.250
Y 0.000 0.500 0.500
Y 0.500 0.000 0.000
Er 0.168 0.665 0.000
Er 0.250 0.418 0.250
Er 0.335 0.832 0.500
Er 0.418 0.250 0.750
Er 0.582 0.750 0.250
Er 0.665 0.168 0.500
Er 0.750 0.582 0.750
Er 0.832 0.335 0.000

=====

VASP calculation (PBE-GGA) on an optimized crystal structure of Nd3YEr.

Properties
Calculated total energy   -99.97 eV per cell
Total moment   0.00 μB/cell
ΔH_f (0 K)   0.067 eV per atom
Excess energy over the best structure of this formula in the dataset   0.000 eV per atom
SG   C2/c, No. 15

abc: 11.700 11.700 5.825
angles: 104.41 104.41 63.04
Fractional positions:
Nd 0.062 0.748 0.657
Nd 0.198 0.412 0.553
Nd 0.246 0.565 0.155
Nd 0.252 0.938 0.843
Nd 0.412 0.198 0.053
Nd 0.435 0.754 0.345
Nd 0.565 0.246 0.655
Nd 0.588 0.802 0.947
Nd 0.748 0.062 0.157
Nd 0.754 0.435 0.845
Nd 0.802 0.588 0.447
Nd 0.938 0.252 0.343
Y 0.090 0.301 0.943
Y 0.301 0.090 0.443
Y 0.699 0.910 0.557
Y 0.910 0.699 0.057
Er 0.088 0.912 0.250
Er 0.412 0.588 0.750
Er 0.588 0.412 0.250
Er 0.912 0.088 0.750

=====

VASP calculation (PBE-GGA) on an optimized crystal structure of Nd19Y4Er6.

Properties
Calculated total energy   -133.06 eV per cell
Total moment   0.00 μB/cell
ΔH_f (0 K)   0.371 eV per atom
SG   I23, No. 197

abc: 11.014 11.014 11.014
angles: 109.47 109.47 109.47
Fractional positions:
Nd 0.000 0.000 0.000
Nd 0.000 0.262 0.262
Nd 0.000 0.738 0.738
Nd 0.018 0.800 0.343
Nd 0.200 0.218 0.543
Nd 0.218 0.543 0.200
Nd 0.262 0.000 0.262
Nd 0.262 0.262 0.000
Nd 0.324 0.782 0.982
Nd 0.343 0.018 0.800
Nd 0.457 0.676 0.657
Nd 0.543 0.200 0.218
Nd 0.657 0.457 0.676
Nd 0.676 0.657 0.457
Nd 0.738 0.000 0.738
Nd 0.738 0.738 0.000
Nd 0.782 0.982 0.324
Nd 0.800 0.343 0.018
Nd 0.982 0.324 0.782
Y 0.000 0.000 0.640
Y 0.000 0.640 0.000
Y 0.360 0.360 0.360
Y 0.640 0.000 0.000
Er 0.125 0.625 0.500
Er 0.375 0.500 0.875
Er 0.500 0.125 0.625
Er 0.500 0.875 0.375
Er 0.625 0.500 0.125
Er 0.875 0.375 0.500

=====

VASP calculation (PBE-GGA) on an optimized crystal structure of Nd10YEr4.

Properties
Calculated total energy   -65.90 eV per cell
Total moment   0.00 μB/cell
ΔH_f (0 K)   0.433 eV per atom
SG   I4/m, No. 87

abc: 8.933 8.933 8.933
angles: 111.74 111.74 105.03
Fractional positions:
Nd 0.046 0.939 0.653
Nd 0.061 0.713 0.107
Nd 0.250 0.750 0.500
Nd 0.287 0.394 0.347
Nd 0.394 0.046 0.107
Nd 0.606 0.954 0.893
Nd 0.713 0.606 0.653
Nd 0.750 0.250 0.500
Nd 0.939 0.287 0.893
Nd 0.954 0.061 0.347
Y 0.000 0.000 0.000
Er 0.221 0.556 0.777
Er 0.444 0.221 0.665
Er 0.556 0.779 0.335
Er 0.779 0.444 0.223

=====

VASP calculation (PBE-GGA) on an optimized crystal structure of NdY12Er6.

Properties
Calculated total energy   -106.83 eV per cell
Total moment   0.00 μB/cell
ΔH_f (0 K)   0.152 eV per atom
Excess energy over the best structure of this formula in the dataset   0.127 eV per atom
SG   R-3, No. 148

abc: 8.542 8.542 8.542
angles: 87.99 87.99 87.99
Fractional positions:
Nd 0.000 0.000 0.000
Y 0.009 0.359 0.204
Y 0.204 0.009 0.359
Y 0.224 0.564 0.457
Y 0.359 0.204 0.009
Y 0.436 0.543 0.776
Y 0.457 0.224 0.564
Y 0.543 0.776 0.436
Y 0.564 0.457 0.224
Y 0.641 0.796 0.991
Y 0.776 0.436 0.543
Y 0.796 0.991 0.641
Y 0.991 0.641 0.796
Er 0.093 0.256 0.691
Er 0.256 0.691 0.093
Er 0.309 0.907 0.744
Er 0.691 0.093 0.256
Er 0.744 0.309 0.907
Er 0.907 0.744 0.309

=====

VASP calculation (PBE-GGA) on an optimized crystal structure of Nd10Y6Er.

Properties
Calculated total energy   -88.84 eV per cell
Total moment   0.00 μB/cell
ΔH_f (0 K)   0.129 eV per atom
SG   P-31m, No. 162

abc: 9.881 9.881 6.938
angles: 90.00 90.00 120.00
Fractional positions:
Nd 0.000 0.274 0.183
Nd 0.000 0.726 0.817
Nd 0.274 0.000 0.183
Nd 0.274 0.274 0.817
Nd 0.333 0.667 0.000
Nd 0.333 0.667 0.500
Nd 0.667 0.333 0.000
Nd 0.667 0.333 0.500
Nd 0.726 0.000 0.817
Nd 0.726 0.726 0.183
Y 0.000 0.368 0.688
Y 0.000 0.632 0.312
Y 0.368 0.000 0.688
Y 0.368 0.368 0.312
Y 0.632 0.000 0.312
Y 0.632 0.632 0.688
Er 0.000 0.000 0.500

=====

VASP calculation (PBE-GGA) on an optimized crystal structure of Nd6YEr12.

Properties
Calculated total energy   -87.40 eV per cell
Total moment   0.00 μB/cell
ΔH_f (0 K)   0.128 eV per atom
Excess energy over the best structure of this formula in the dataset   0.000 eV per atom
SG   R-3m, No. 166

abc: 8.648 8.648 8.648
angles: 79.67 79.67 79.67
Fractional positions:
Nd 0.267 0.267 0.665
Nd 0.267 0.665 0.267
Nd 0.335 0.733 0.733
Nd 0.665 0.267 0.267
Nd 0.733 0.335 0.733
Nd 0.733 0.733 0.335
Y 0.500 0.500 0.500
Er 0.013 0.013 0.696
Er 0.013 0.696 0.013
Er 0.016 0.363 0.363
Er 0.304 0.987 0.987
Er 0.363 0.016 0.363
Er 0.363 0.363 0.016
Er 0.637 0.637 0.984
Er 0.637 0.984 0.637
Er 0.696 0.013 0.013
Er 0.984 0.637 0.637
Er 0.987 0.304 0.987
Er 0.987 0.987 0.304

=====

VASP calculation (PBE-GGA) on an optimized crystal structure of Nd8Y6Er.

Properties
Calculated total energy   -79.80 eV per cell
Total moment   0.00 μB/cell
ΔH_f (0 K)   0.112 eV per atom
SG   R-3, No. 148

abc: 8.784 8.784 8.784
angles: 63.05 63.05 63.05
Fractional positions:
Nd 0.077 0.077 0.077
Nd 0.216 0.613 0.252
Nd 0.252 0.216 0.613
Nd 0.387 0.748 0.784
Nd 0.613 0.252 0.216
Nd 0.748 0.784 0.387
Nd 0.784 0.387 0.748
Nd 0.923 0.923 0.923
Y 0.039 0.596 0.747
Y 0.253 0.961 0.404
Y 0.404 0.253 0.961
Y 0.596 0.747 0.039
Y 0.747 0.039 0.596
Y 0.961 0.404 0.253
Er 0.500 0.500 0.500

=====

VASP calculation (PBE-GGA) on an optimized crystal structure of NdY2Er3.

Properties
Calculated total energy   -60.14 eV per cell
Total moment   0.00 μB/cell
ΔH_f (0 K)   0.219 eV per atom
Excess energy over the best structure of this formula in the dataset   0.195 eV per atom
SG   Cmc2_1, No. 36

abc: 8.090 8.090 6.344
angles: 90.00 90.00 108.69
Fractional positions:
Nd 0.176 0.824 0.500
Nd 0.824 0.176 0.000
Y 0.259 0.375 0.276
Y 0.375 0.259 0.776
Y 0.625 0.741 0.276
Y 0.741 0.625 0.776
Er 0.082 0.918 0.027
Er 0.122 0.516 0.827
Er 0.484 0.878 0.827
Er 0.516 0.122 0.327
Er 0.878 0.484 0.327
Er 0.918 0.082 0.527

=====

VASP calculation (PBE-GGA) on an optimized crystal structure of NdY4Er8.

Properties
Calculated total energy   -64.49 eV per cell
Total moment   0.00 μB/cell
ΔH_f (0 K)   0.203 eV per atom
SG   R-3m, No. 166

abc: 9.879 9.879 9.879
angles: 43.38 43.38 43.38
Fractional positions:
Nd 0.000 0.000 0.000
Y 0.000 0.000 0.500
Y 0.000 0.500 0.000
Y 0.500 0.000 0.000
Y 0.500 0.500 0.500
Er 0.250 0.250 0.691
Er 0.250 0.691 0.250
Er 0.281 0.281 0.281
Er 0.309 0.750 0.750
Er 0.691 0.250 0.250
Er 0.719 0.719 0.719
Er 0.750 0.309 0.750
Er 0.750 0.750 0.309

=====

VASP calculation (PBE-GGA) on an optimized crystal structure of Nd2Y2Er3.

Properties
Calculated total energy   -69.16 eV per cell
Total moment   0.00 μB/cell
ΔH_f (0 K)   0.225 eV per atom
Excess energy over the best structure of this formula in the dataset   0.096 eV per atom
SG   I2_13, No. 199

abc: 8.448 8.448 8.448
angles: 109.47 109.47 109.47
Fractional positions:
Nd 0.000 0.814 0.500
Nd 0.500 0.000 0.814
Nd 0.686 0.686 0.686
Nd 0.814 0.500 0.000
Y 0.000 0.413 0.500
Y 0.087 0.087 0.087
Y 0.413 0.500 0.000
Y 0.500 0.000 0.413
Er 0.193 0.750 0.943
Er 0.250 0.557 0.307
Er 0.307 0.250 0.557
Er 0.557 0.307 0.250
Er 0.750 0.943 0.193
Er 0.943 0.193 0.750

=====

VASP calculation (PBE-GGA) on an optimized crystal structure of NdYEr6.

Properties
Calculated total energy   -37.40 eV per cell
Total moment   0.00 μB/cell
ΔH_f (0 K)   0.151 eV per atom
SG   R-3, No. 148

abc: 6.421 6.421 6.421
angles: 96.54 96.54 96.54
Fractional positions:
Nd 0.000 0.000 0.000
Y 0.500 0.500 0.500
Er 0.046 0.748 0.453
Er 0.252 0.547 0.954
Er 0.453 0.046 0.748
Er 0.547 0.954 0.252
Er 0.748 0.453 0.046
Er 0.954 0.252 0.547

=====

VASP calculation (PBE-GGA) on an optimized crystal structure of Nd3Y6Er.

Properties
Calculated total energy   -112.45 eV per cell
Total moment   0.00 μB/cell
ΔH_f (0 K)   0.142 eV per atom
Excess energy over the best structure of this formula in the dataset   0.000 eV per atom
SG   Cmc2_1, No. 36

abc: 10.929 10.929 6.442
angles: 90.00 90.00 119.79
Fractional positions:
Nd 0.114 0.886 0.500
Nd 0.208 0.436 0.107
Nd 0.436 0.208 0.607
Nd 0.564 0.792 0.107
Nd 0.792 0.564 0.607
Nd 0.886 0.114 0.000
Y 0.028 0.445 0.698
Y 0.123 0.212 0.517
Y 0.212 0.123 0.017
Y 0.233 0.767 0.912
Y 0.445 0.028 0.198
Y 0.461 0.539 0.706
Y 0.539 0.461 0.206
Y 0.555 0.972 0.698
Y 0.767 0.233 0.412
Y 0.788 0.877 0.517
Y 0.877 0.788 0.017
Y 0.972 0.555 0.198
Er 0.307 0.693 0.434
Er 0.693 0.307 0.934

=====

VASP calculation (PBE-GGA) on an optimized crystal structure of NdY5Er.

Properties
Calculated total energy   -81.76 eV per cell
Total moment   0.00 μB/cell
ΔH_f (0 K)   0.110 eV per atom
SG   C2/c, No. 15

abc: 6.532 6.532 11.610
angles: 103.80 103.80 95.45
Fractional positions:
Nd 0.244 0.756 0.750
Nd 0.756 0.244 0.250
Y 0.052 0.190 0.663
Y 0.190 0.052 0.163
Y 0.230 0.429 0.464
Y 0.407 0.593 0.250
Y 0.429 0.230 0.964
Y 0.571 0.770 0.036
Y 0.593 0.407 0.750
Y 0.770 0.571 0.536
Y 0.810 0.948 0.837
Y 0.948 0.810 0.337
Er 0.000 0.500 0.000
Er 0.500 0.000 0.500

=====

VASP calculation (PBE-GGA) on an optimized crystal structure of Nd5Y2Er3.

Properties
Calculated total energy   -94.94 eV per cell
Total moment   0.00 μB/cell
ΔH_f (0 K)   0.299 eV per atom
Excess energy over the best structure of this formula in the dataset   0.120 eV per atom
SG   Ibam, No. 72

abc: 11.089 11.089 11.089
angles: 111.73 78.45 146.10
Fractional positions:
Nd 0.164 0.604 0.769
Nd 0.250 0.250 0.000
Nd 0.250 0.503 0.253
Nd 0.250 0.997 0.747
Nd 0.336 0.104 0.440
Nd 0.664 0.896 0.560
Nd 0.750 0.003 0.253
Nd 0.750 0.497 0.747
Nd 0.750 0.750 0.000
Nd 0.836 0.396 0.231
Y 0.177 0.906 0.083
Y 0.323 0.406 0.729
Y 0.677 0.594 0.271
Y 0.823 0.094 0.917
Er 0.164 0.216 0.381
Er 0.250 0.750 0.500
Er 0.336 0.716 0.052
Er 0.664 0.284 0.948
Er 0.750 0.250 0.500
Er 0.836 0.784 0.619

=====

VASP calculation (PBE-GGA) on an optimized crystal structure of NdY8Er4.

Properties
Calculated total energy   -72.06 eV per cell
Total moment   0.00 μB/cell
ΔH_f (0 K)   0.206 eV per atom
SG   R-3m, No. 166

abc: 10.021 10.021 10.021
angles: 42.78 42.78 42.78
Fractional positions:
Nd 0.000 0.000 0.000
Y 0.250 0.250 0.697
Y 0.250 0.697 0.250
Y 0.282 0.282 0.282
Y 0.303 0.750 0.750
Y 0.697 0.250 0.250
Y 0.718 0.718 0.718
Y 0.750 0.303 0.750
Y 0.750 0.750 0.303
Er 0.000 0.000 0.500
Er 0.000 0.500 0.000
Er 0.500 0.000 0.000
Er 0.500 0.500 0.500